No. 1
Ti2Cd2Cu | PBE | optimized geometry

Computed properties:
- calculated total energy (Ry per atom) = -0.2960
- DOS at the Fermi energy (states/eV/f.u.) = 4.7

a b c (Å): 6.7681 6.7681 4.1052
angles (deg): 90.00 90.00 90.00
Atoms (fractional coordinates):
Ti  0.1598  0.3402  0.0000
Ti  0.3402  0.8402  0.0000
Ti  0.6598  0.1598  0.0000
Ti  0.8402  0.6598  0.0000
Cd  0.1448  0.6448  0.5000
Cd  0.3552  0.1448  0.5000
Cd  0.6448  0.8552  0.5000
Cd  0.8552  0.3552  0.5000
Cu  0.0000  0.0000  0.5000
Cu  0.5000  0.5000  0.5000

No. 2
Fe2CoHRu | PBE | optimized geometry

Computed properties:
- calculated total energy (Ry per atom) = -0.5281
- DOS at the Fermi energy (states/eV/f.u.) = 6.2

a b c (Å): 3.6872 3.6872 3.7216
angles (deg): 90.00 90.00 90.00
Atoms (fractional coordinates):
Fe  0.0000  0.5000  0.0000
Fe  0.5000  0.0000  0.0000
Co  0.0000  0.0000  0.5000
H  0.5000  0.5000  0.0000
Ru  0.5000  0.5000  0.5000

No. 3
NaSrHg4 | PBE | optimized geometry

Computed properties:
- calculated total energy (Ry per atom) = -0.0726
- DOS at the Fermi energy (states/eV/f.u.) = 3.1

a b c (Å): 8.7888 8.7888 8.1677
angles (deg): 90.00 90.00 145.89
Atoms (fractional coordinates):
Na  0.1537  0.8463  0.7500
Na  0.8463  0.1537  0.2500
Sr  0.3769  0.6231  0.7500
Sr  0.6231  0.3769  0.2500
Hg  0.0000  0.0000  0.0000
Hg  0.0000  0.0000  0.5000
Hg  0.2374  0.7626  0.0763
Hg  0.2374  0.7626  0.4237
Hg  0.4330  0.5670  0.2500
Hg  0.5670  0.4330  0.7500
Hg  0.7626  0.2374  0.5763
Hg  0.7626  0.2374  0.9237

No. 4
Ta2MnIn | PBE | optimized geometry

Computed properties:
- calculated total energy (Ry per atom) = -0.6337
- DOS at the Fermi energy (states/eV/f.u.) = 3.0

a b c (Å): 8.8681 8.8681 8.8681
angles (deg): 19.92 19.92 19.92
Atoms (fractional coordinates):
Ta  0.2367  0.2367  0.2367
Ta  0.7633  0.7633  0.7633
Mn  0.5000  0.5000  0.5000
In  0.0000  0.0000  0.0000

No. 5
RbB2As2S6 | PBE | optimized geometry

Computed properties:
- calculated total energy (Ry per atom) = -0.3482
- DOS at the Fermi energy (states/eV/f.u.) = 3.1

a b c (Å): 6.7085 7.1729 7.6512
angles (deg): 95.88 106.68 112.21
Atoms (fractional coordinates):
Rb  0.0000  0.0000  0.0000
B  0.0845  0.4934  0.7251
B  0.9155  0.5066  0.2749
As  0.2656  0.8721  0.5086
As  0.7344  0.1279  0.4914
S  0.1306  0.2680  0.6415
S  0.2226  0.5858  0.3157
S  0.2993  0.7561  0.8124
S  0.7007  0.2439  0.1876
S  0.7774  0.4142  0.6843
S  0.8694  0.7320  0.3585

No. 6
KPmAgO3 | PBE | optimized geometry

Computed properties:
- calculated total energy (Ry per atom) = -0.4073
- DOS at the Fermi energy (states/eV/f.u.) = 2.5

a b c (Å): 6.4956 6.4956 6.7442
angles (deg): 90.00 90.00 120.00
Atoms (fractional coordinates):
K  0.3333  0.6667  0.2500
K  0.6667  0.3333  0.7500
Pm  0.0000  0.0000  0.0000
Pm  0.0000  0.0000  0.5000
Ag  0.3333  0.6667  0.7500
Ag  0.6667  0.3333  0.2500
O  0.1472  0.2943  0.7500
O  0.1472  0.8528  0.7500
O  0.2943  0.1472  0.2500
O  0.7057  0.8528  0.7500
O  0.8528  0.1472  0.2500
O  0.8528  0.7057  0.2500

No. 7
La3Pm3Dy5 | PBE | optimized geometry

Computed properties:
- calculated total energy (Ry per atom) = -0.2939
- DOS at the Fermi energy (states/eV/f.u.) = 15.9

a b c (Å): 9.6771 9.6771 5.4504
angles (deg): 90.00 90.00 120.00
Atoms (fractional coordinates):
La  0.0000  0.3608  0.0000
La  0.3608  0.0000  0.0000
La  0.6392  0.6392  0.0000
Pm  0.0000  0.5084  0.5000
Pm  0.4916  0.4916  0.5000
Pm  0.5084  0.0000  0.5000
Dy  0.0000  0.7230  0.0000
Dy  0.2770  0.2770  0.0000
Dy  0.3333  0.6667  0.0000
Dy  0.6667  0.3333  0.0000
Dy  0.7230  0.0000  0.0000

No. 8
TiMnSbAu | PBE | optimized geometry

Computed properties:
- calculated total energy (Ry per atom) = -0.4575
- DOS at the Fermi energy (states/eV/f.u.) = 2.2

a b c (Å): 4.6594 4.6594 4.6594
angles (deg): 60.00 60.00 60.00
Atoms (fractional coordinates):
Ti  0.0000  0.0000  0.0000
Mn  0.5000  0.5000  0.5000
Sb  0.7500  0.7500  0.7500
Au  0.2500  0.2500  0.2500

Number 7 is which compound? La3Pm3Dy5